# PBE-GGA Li3NiPd2, relaxed
data_Li3NiPd2
_space_group_name_H-M_alt 'P -3 m 1'
_space_group_IT_number 164
_space_group_name_Hall '-P 3 2"'
_cell_length_a 2.7011
_cell_length_b 2.7011
_cell_length_c 12.3527
_cell_angle_alpha 90.00
_cell_angle_beta 90.00
_cell_angle_gamma 120.00
loop_
_atom_site_label
_atom_site_fract_x
_atom_site_fract_y
_atom_site_fract_z
Li1 0.0000 0.0000 0.0000
Li2 0.3333 0.6667 0.6612
Ni1 0.0000 0.0000 0.5000
Pd1 0.3333 0.6667 0.1687
# VASP energy ... -23.2 eV for the cell shown